1.
Density functional theory data (PBE) for a relaxed structure of AcNF3. Values from VASP.

Geometry as Quantum ESPRESSO input:
```
&SYSTEM
  ibrav = 0, nat = 20, ntyp = 3
/
ATOMIC_SPECIES
F 19.00 F.upf
Ac 227.00 Ac.upf
N 14.01 N.upf
ATOMIC_POSITIONS angstrom
F 4.252 3.457 9.431
F 3.112 0.930 9.420
F 3.965 6.512 5.165
F 3.388 6.555 9.343
F 0.769 -0.460 5.161
F 0.594 1.146 2.824
F 0.192 -0.416 9.339
F -0.095 2.639 5.073
F 4.765 7.448 11.666
F 1.045 5.166 5.084
F -0.608 -1.353 2.838
F 3.563 4.950 11.680
Ac 5.507 5.574 10.014
Ac 2.351 2.813 11.079
Ac -1.350 0.521 4.490
Ac 1.806 3.283 3.424
N 5.955 5.284 13.286
N 0.816 3.610 8.251
N 3.341 2.486 6.253
N -1.798 0.812 1.217
CELL_PARAMETERS angstrom
-3.328 1.552 1.359
0.506 -4.680 6.585
6.979 9.224 6.560
```

Values from the calculation:
Space-group type: No. 14
E (eV per atom): -6.89


2.
Density functional theory data (PBE) for a relaxed structure of Ac12N3F5. Values from VASP.

Geometry as Quantum ESPRESSO input:
```
&SYSTEM
  ibrav = 0, nat = 80, ntyp = 3
/
ATOMIC_SPECIES
Ac 227.00 Ac.upf
N 14.01 N.upf
F 19.00 F.upf
ATOMIC_POSITIONS angstrom
Ac 6.956 3.540 4.370
Ac 2.849 4.918 1.248
Ac -0.104 4.429 4.883
Ac 6.640 7.229 6.278
Ac 6.041 2.246 1.394
Ac 9.909 6.444 2.129
Ac -1.334 -3.412 8.406
Ac -3.687 11.066 1.394
Ac 8.994 0.573 5.251
Ac -1.019 7.653 4.516
Ac -4.810 5.342 11.015
Ac 6.041 10.068 3.122
Ac -2.249 -5.342 11.015
Ac 1.858 -1.950 10.648
Ac 10.432 3.243 3.122
Ac -1.934 -0.573 5.251
Ac 1.858 1.738 10.280
Ac 3.372 5.658 4.516
Ac 4.287 -1.506 3.635
Ac -0.496 4.706 0.881
Ac 5.126 5.723 8.886
Ac -1.334 4.410 10.134
Ac 8.394 -4.410 10.134
Ac 4.810 2.226 6.645
Ac 2.457 8.882 4.883
Ac 7.479 -0.933 2.642
Ac 1.334 0.997 7.012
Ac -1.858 -0.212 9.400
Ac 6.956 11.998 0.513
Ac -0.419 0.933 2.642
Ac 9.309 -3.116 7.158
Ac -0.496 8.393 1.248
Ac -5.725 3.412 8.406
Ac 0.419 8.162 7.893
Ac -2.249 3.116 7.158
Ac -4.287 6.082 6.278
Ac 1.934 5.150 7.893
Ac 2.849 8.605 0.881
Ac -5.202 0.212 9.400
Ac 9.517 1.314 0.513
Ac 5.725 -0.997 7.012
Ac 5.202 1.950 10.648
Ac 2.249 -2.226 6.645
Ac -4.602 9.772 4.370
Ac -2.773 7.588 8.886
Ac 6.564 6.868 2.129
Ac 5.202 -1.738 10.280
Ac 2.773 1.506 3.635
N 8.236 4.160 1.441
N -3.530 2.496 10.087
N 5.883 0.832 4.323
N -1.177 5.824 7.205
N 8.236 9.152 1.441
N 1.177 -0.832 4.323
N -5.883 6.656 8.646
N 1.177 6.656 2.882
N 3.530 0.000 8.646
N 3.530 7.488 7.205
N 10.589 0.000 2.882
N -3.530 -2.496 10.087
F -3.530 7.488 4.323
F 5.883 5.824 4.323
F 2.353 3.328 5.764
F 1.177 4.160 10.087
F 8.236 -0.832 7.205
F -1.177 10.816 1.441
F -2.353 6.656 0.000
F 0.000 0.000 0.000
F 5.883 3.328 8.646
F 3.530 2.496 1.441
F -4.706 3.328 5.764
F 1.177 -3.328 8.646
F -1.177 0.832 7.205
F -2.353 -3.328 5.764
F 7.060 0.000 0.000
F 3.530 9.984 2.882
F -1.177 3.328 2.882
F 4.706 6.656 0.000
F 5.883 -4.160 10.087
F 4.706 -3.328 5.764
CELL_PARAMETERS angstrom
14.119 0.000 0.000
-4.706 13.312 0.000
-4.706 -6.656 11.528
```

Values from the calculation:
Space-group type: No. 230
E (eV per atom): -5.27


In Å³ per cell, the volume values for the records above are, in order, 421; 2167.